A plane-wave DFT calculation with PBE was carried out for a relaxed Sr2FeCo crystal.

Properties
* energy above the most stable polymorph in this dataset: 218 meV/atom
* spin magnetization: 3.7 μB/f.u.
* formation energy: 0.416 eV/atom
* space group: Imm2

```
Sr2FeCo
1.0
-1.892 2.396 6.050
1.892 -2.396 6.050
1.892 2.396 -6.050
Sr Fe Co
2 1 1
direct
0.000 0.000 0.000 Sr
0.733 0.233 0.500 Sr
0.316 0.816 0.500 Fe
0.421 0.421 0.000 Co
```